Material: ErScZnRu
Method: DFT, PBE
State: relaxed

Geometry as CIF:
```
data_ErScZnRu
_space_group_name_H-M_alt 'F -4 3 m'
_space_group_IT_number 216
_space_group_name_Hall 'F -4 2 3'
_cell_length_a 6.7226
_cell_length_b 6.7226
_cell_length_c 6.7226
_cell_angle_alpha 90.00
_cell_angle_beta 90.00
_cell_angle_gamma 90.00
loop_
_atom_site_label
_atom_site_fract_x
_atom_site_fract_y
_atom_site_fract_z
Er1 0.0000 0.0000 0.0000
Sc1 0.0000 0.0000 0.5000
Zn1 0.2500 0.2500 0.2500
Ru1 0.2500 0.2500 0.7500
```

Summary:
Formation enthalpy at 0 K, eV per atom: -0.42
D(E_F), states/eV/f.u.: 4.309
Calculated total energy, eV for the cell shown: -92.5